[1]
Computed, not measured: a relaxed Nd2DyEr5Th crystal at the PBE level of DFT.

Cell: 8.6815 8.6815 15.3421 Å, 90.00 90.00 90.00°
Last column: nearest neighbours and their distance in Å.
Space group I4/mcm (No. 140)
Inequivalent atoms, fractional coordinates:
Nd: 0.1162 0.3838 0.0000 [8 per cell]  1 Nd 2.85, 2 Er 3.00
Dy: 0.0000 0.5000 0.2500 [4 per cell]  4 Er 3.12
Er: 0.0000 0.0000 0.0000 [4 per cell]  4 Nd 3.48, 8 Er 3.77, 2 Th 3.84
Er: 0.2132 0.2868 0.3603 [16 per cell]  1 Nd 3.00, 1 Dy 3.12
Th: 0.0000 0.0000 0.2500 [4 per cell]  10 Er 3.53-3.84

Calculated values
Energy relative to the elements (meV per atom): 294
VASP energy (eV per atom): -4.636

[2]
Computed, not measured: a relaxed FeNiSb3 crystal at the PBE level of DFT.

Cell: 4.8570 4.8570 4.8570 Å, 90.00 90.00 90.00°
Last column: nearest neighbours and their distance in Å.
Space group Pm-3m (No. 221)
Inequivalent atoms, fractional coordinates:
Fe: 0.0000 0.0000 0.0000 [1 per cell]  6 Sb 2.43
Ni: 0.5000 0.5000 0.5000 [1 per cell]  12 Sb 3.43
Sb: 0.0000 0.0000 0.5000 [3 per cell]  2 Fe 2.43

Calculated values
VASP energy (eV per atom): -4.633

[3]
Computed, not measured: a relaxed AcTl2Hg7Au2 crystal at the PBE level of DFT.

Cell: 6.5186 6.5136 16.1967 Å, 90.00 101.23 90.00°
Last column: nearest neighbours and their distance in Å.
Space group C2/m (No. 12)
Inequivalent atoms, fractional coordinates:
Ac: 0.0000 0.0000 0.0000 [2 per cell]  12 Hg 3.26-3.50
Tl: 0.1613 0.0000 0.3347 [4 per cell]  1 Hg 3.13, 4 Au 3.32-3.35
Hg: 0.0000 0.5000 0.0000 [2 per cell]  4 Ac 3.26, 8 Hg 3.49-3.50
Hg: 0.1700 0.2508 0.8347 [8 per cell]  2 Au 3.03-3.04, 4 Hg 3.25-3.27
Hg: 0.2312 0.5000 0.4681 [4 per cell]  1 Au 2.83, 1 Tl 3.13
Au: 0.1419 0.5000 0.2896 [4 per cell]  5 Hg 2.83-3.04

Calculated values
Energy relative to the elements (meV per atom): -124
VASP energy (eV per atom): -1.583

[4]
Computed, not measured: a relaxed NaCdAs crystal at the PBE level of DFT.

Cell: 4.5139 4.5139 4.6275 Å, 90.00 90.00 120.00°
Last column: nearest neighbours and their distance in Å.
Space group P3m1 (No. 156)
Inequivalent atoms, fractional coordinates:
Na: 0.0000 0.0000 0.0000 [1 per cell]  6 As 3.46-3.51, 6 Cd 3.47-3.50
Cd: 0.6667 0.3333 0.5033 [1 per cell]  3 As 2.61
As: 0.3333 0.6667 0.4913 [1 per cell]  3 Cd 2.61

Calculated values
Energy relative to the elements (meV per atom): -273
VASP energy (eV per atom): -2.568

[5]
Computed, not measured: a relaxed LiCuSiBi2 crystal at the PBE level of DFT.

Cell: 5.6137 5.6137 4.3457 Å, 90.00 90.00 90.00°
Last column: nearest neighbours and their distance in Å.
Space group P4/mmm (No. 123)
Inequivalent atoms, fractional coordinates:
Li: 0.0000 0.0000 0.0000 [1 per cell]  8 Bi 3.55, 4 Cu 3.97
Cu: 0.5000 0.5000 0.0000 [1 per cell]  2 Si 2.17
Si: 0.5000 0.5000 0.5000 [1 per cell]  2 Cu 2.17
Bi: 0.0000 0.5000 0.5000 [2 per cell]  2 Si 2.81

Calculated values
VASP energy (eV per atom): -3.481

[6]
Computed, not measured: a relaxed SiAgS2 crystal at the PBE level of DFT.

Cell: 3.2240 3.2240 29.3580 Å, 90.00 90.00 120.00°
Last column: nearest neighbours and their distance in Å.
Space group R-3m (No. 166, hexagonal axes)
Inequivalent atoms, fractional coordinates:
Si: 0.0000 0.0000 0.0000 [3 per cell]  6 S 2.29
Ag: 0.0000 0.0000 0.5000 [3 per cell]  6 Ag 3.22, 2 S 3.55
S: 0.0000 0.0000 0.3789 [6 per cell]  3 Si 2.29

Calculated values
VASP energy (eV per atom): -4.316